No. 1
VASP calculation (PBE) on YThMgTl after structural relaxation.

Output
- Final energy: -4.572 eV per atom
- Calculated volume: 28.180 Å³/atom

Lattice parameters (Å, degrees): 7.668 7.668 7.668 90.00 90.00 90.00
Space group F-43m (No. 216)
One atom of each set of equivalent atoms:
Y: 0.000 0.000 0.000 x4
Th: 0.000 0.000 0.500 x4
Mg: 0.250 0.250 0.750 x4
Tl: 0.250 0.250 0.250 x4


No. 2
VASP calculation (PBE) on Na2TcNiSe after structural relaxation.

Output
- Final energy: -3.374 eV per atom
- ΔE_f (raw): 1.08 eV/atom
- Calculated volume: 28.087 Å³/atom

Lattice parameters (Å, degrees): 5.666 5.666 4.375 90.00 90.00 90.00
Space group P4/mmm (No. 123)
One atom of each set of equivalent atoms:
Na: 0.000 0.500 0.000 x2
Tc: 0.000 0.000 0.000 x1
Ni: 0.000 0.000 0.500 x1
Se: 0.500 0.500 0.500 x1


No. 3
VASP calculation (PBE) on Tl2Hg2H after structural relaxation.

Output
- Final energy: -1.449 eV per atom
- Energy above the lowest structure with this stoichiometry: 12.11 kJ/mol of atoms
- Calculated volume: 23.902 Å³/atom

Lattice parameters (Å, degrees): 6.350 6.350 5.928 90.00 90.00 90.00
Space group P4/mbm (No. 127)
One atom of each set of equivalent atoms:
Tl: 0.183 0.317 0.000 x4
Hg: 0.172 0.672 0.500 x4
H: 0.000 0.000 0.500 x2


No. 4
VASP calculation (PBE) on MgSnSb after structural relaxation.

Output
- Final energy: -3.370 eV per atom
- ΔE_f (raw): -0.13 eV/atom
- Calculated volume: 27.825 Å³/atom

Lattice parameters (Å, degrees): 4.386 4.102 9.279 90.00 90.01 90.00
Space group P2_1/m (No. 11)
One atom of each set of equivalent atoms:
Mg: 0.141 0.250 0.356 x2
Sn: 0.251 0.250 0.972 x2
Sb: 0.356 0.250 0.666 x2


Q: Which of these has the highest calculated volume?
A: YThMgTl


Q: The highest calculated volume belongs to which entry?
A: YThMgTl


Q: Look up the calculated volume of the fourth one.
A: 27.825 Å³/atom